Entry 1:
First-principles (PBE) data for a relaxed Pt3W4 crystal, as listed in the Alexandria database. Values from VASP.

distance to the lowest polymorph of the same formula	108.4	meV per atom
energy of formation	0.15	eV per atom
total energy	-9.845	eV per atom
magnetization	0.0	μB/cell

```
&SYSTEM
  ibrav = 0, nat = 7, ntyp = 2
/
ATOMIC_SPECIES
Pt 195.08 Pt.upf
W 183.84 W.upf
ATOMIC_POSITIONS crystal
Pt 0.000 0.500 0.000
Pt 0.500 0.500 0.000
Pt 0.500 0.000 0.000
W 0.000 0.000 0.264
W 0.000 0.000 0.736
W 0.667 0.333 0.500
W 0.333 0.667 0.500
CELL_PARAMETERS angstrom
2.560 -4.434 0.000
2.560 4.434 0.000
0.000 0.000 4.969
```

Entry 2:
First-principles (PBE) data for a relaxed Li2TlSe crystal, as listed in the Alexandria database. Values from VASP.

total energy	-2.744	eV per atom
magnetization	0.0	μB/cell

```
&SYSTEM
  ibrav = 0, nat = 4, ntyp = 3
/
ATOMIC_SPECIES
Li 6.94 Li.upf
Se 78.96 Se.upf
Tl 204.38 Tl.upf
ATOMIC_POSITIONS crystal
Li 0.000 0.000 0.000
Li 0.250 0.250 0.250
Se 0.500 0.500 0.500
Tl 0.750 0.750 0.750
CELL_PARAMETERS angstrom
5.077 0.000 0.000
2.538 4.396 0.000
2.538 1.465 4.145
```

Entry 3:
First-principles (PBE) data for a relaxed Te2HRh crystal, as listed in the Alexandria database. Values from VASP.

distance to the lowest polymorph of the same formula	367.7	meV per atom
total energy	-4.014	eV per atom
magnetization	0.0	μB/cell

```
&SYSTEM
  ibrav = 0, nat = 8, ntyp = 3
/
ATOMIC_SPECIES
H 1.01 H.upf
Te 127.60 Te.upf
Rh 102.91 Rh.upf
ATOMIC_POSITIONS crystal
H 0.500 0.500 0.000
H 0.250 0.750 0.500
Te 0.591 0.125 0.250
Te 0.159 0.625 0.250
Te 0.375 0.409 0.750
Te 0.875 0.841 0.750
Rh 0.000 0.000 0.000
Rh 0.750 0.250 0.500
CELL_PARAMETERS angstrom
-3.371 -3.918 2.612
4.110 -0.881 3.983
-1.670 1.306 6.222
```

Entry 4:
First-principles (PBE) data for a relaxed Pu2Pd6Pb crystal, as listed in the Alexandria database. Values from VASP.

energy of formation	-0.38	eV per atom
total energy	-7.443	eV per atom
magnetization	10.5	μB/cell

```
&SYSTEM
  ibrav = 0, nat = 9, ntyp = 3
/
ATOMIC_SPECIES
Pu 244.00 Pu.upf
Pd 106.42 Pd.upf
Pb 207.20 Pb.upf
ATOMIC_POSITIONS crystal
Pu 0.797 0.667 0.667
Pu 0.203 0.333 0.333
Pd 0.328 0.352 0.824
Pd 0.329 0.824 0.824
Pd 0.328 0.824 0.352
Pd 0.672 0.648 0.176
Pd 0.671 0.176 0.176
Pd 0.672 0.176 0.648
Pb 0.000 0.000 0.000
CELL_PARAMETERS angstrom
6.265 -0.028 -0.016
0.028 5.770 0.006
0.028 2.880 5.000
```

Entry 5:
First-principles (PBE) data for a relaxed Er8NiTe4S3 crystal, as listed in the Alexandria database. Values from VASP.

total energy	-5.626	eV per atom
magnetization	0.0	μB/cell

```
&SYSTEM
  ibrav = 0, nat = 16, ntyp = 4
/
ATOMIC_SPECIES
Er 167.26 Er.upf
Ni 58.69 Ni.upf
Te 127.60 Te.upf
S 32.06 S.upf
ATOMIC_POSITIONS crystal
Er 0.228 0.706 0.978
Er 0.228 0.706 0.457
Er 0.265 0.294 0.529
Er 0.749 0.706 0.978
Er 0.251 0.294 0.022
Er 0.735 0.706 0.471
Er 0.772 0.294 0.543
Er 0.772 0.294 0.022
Ni 0.000 0.500 0.000
Te 0.500 0.000 0.000
Te 0.500 0.000 0.500
Te 0.000 0.000 0.000
Te 0.000 0.000 0.500
S 0.500 0.500 0.000
S 0.500 0.500 0.500
S 0.000 0.500 0.500
CELL_PARAMETERS angstrom
-3.241 -5.526 4.994
7.594 -1.684 3.065
-2.695 7.662 0.124
```

Entry 6:
First-principles (PBE) data for a relaxed InPO2 crystal, as listed in the Alexandria database. Values from VASP.

distance to the lowest polymorph of the same formula	313.6	meV per atom
total energy	-5.072	eV per atom
magnetization	0.0	μB/cell

```
&SYSTEM
  ibrav = 0, nat = 4, ntyp = 3
/
ATOMIC_SPECIES
P 30.97 P.upf
O 16.00 O.upf
In 114.82 In.upf
ATOMIC_POSITIONS crystal
P 0.500 0.500 0.500
O 0.884 0.884 0.884
O 0.116 0.116 0.116
In 0.000 0.000 0.000
CELL_PARAMETERS angstrom
1.768 0.000 6.846
-0.884 1.531 6.846
-0.884 -1.531 6.846
```

Entry 7:
First-principles (PBE) data for a relaxed DyPd6Au8 crystal, as listed in the Alexandria database. Values from VASP.

distance to the lowest polymorph of the same formula	33.8	meV per atom
energy of formation	-0.16	eV per atom
total energy	-4.294	eV per atom
magnetization	0.0	μB/cell

```
&SYSTEM
  ibrav = 0, nat = 15, ntyp = 3
/
ATOMIC_SPECIES
Dy 162.50 Dy.upf
Pd 106.42 Pd.upf
Au 196.97 Au.upf
ATOMIC_POSITIONS crystal
Dy 0.500 0.000 0.000
Pd 0.637 0.673 0.041
Pd 0.637 0.959 0.632
Pd 0.637 0.368 0.327
Pd 0.363 0.327 0.959
Pd 0.363 0.041 0.368
Pd 0.363 0.632 0.673
Au 0.869 0.024 0.327
Au 0.869 0.673 0.697
Au 0.869 0.303 0.976
Au 0.131 0.976 0.673
Au 0.131 0.327 0.303
Au 0.131 0.697 0.024
Au 0.649 0.333 0.667
Au 0.351 0.667 0.333
CELL_PARAMETERS angstrom
-0.365 5.321 1.504
-7.192 -1.229 2.602
6.049 -0.927 4.749
```

Entry 8:
First-principles (PBE) data for a relaxed Sb3Pd8 crystal, as listed in the Alexandria database. Values from VASP.

distance to the lowest polymorph of the same formula	336.6	meV per atom
total energy	-5.011	eV per atom
magnetization	0.0	μB/cell

```
&SYSTEM
  ibrav = 0, nat = 11, ntyp = 2
/
ATOMIC_SPECIES
Sb 121.76 Sb.upf
Pd 106.42 Pd.upf
ATOMIC_POSITIONS crystal
Sb 0.500 0.000 0.500
Sb 0.000 0.500 0.500
Sb 0.500 0.500 0.000
Pd 0.886 0.328 0.085
Pd 0.328 0.085 0.886
Pd 0.085 0.886 0.328
Pd 0.337 0.337 0.337
Pd 0.663 0.663 0.663
Pd 0.915 0.114 0.672
Pd 0.672 0.915 0.114
Pd 0.114 0.672 0.915
CELL_PARAMETERS angstrom
5.998 -0.451 -0.440
-0.298 6.008 -0.440
-0.298 -0.291 6.017
```

Entry 9:
First-principles (PBE) data for a relaxed Ho4GaSe2S crystal, as listed in the Alexandria database. Values from VASP.

total energy	-5.587	eV per atom
magnetization	0.0	μB/cell

```
&SYSTEM
  ibrav = 0, nat = 8, ntyp = 4
/
ATOMIC_SPECIES
Ho 164.93 Ho.upf
Ga 69.72 Ga.upf
Se 78.96 Se.upf
S 32.06 S.upf
ATOMIC_POSITIONS crystal
Ho 0.000 0.733 0.754
Ho 0.000 0.267 0.246
Ho 0.500 0.741 0.253
Ho 0.500 0.259 0.747
Ga 0.000 0.500 0.500
Se 0.000 0.000 0.000
Se 0.500 0.000 0.500
S 0.500 0.500 0.000
CELL_PARAMETERS angstrom
3.983 0.000 0.000
0.000 7.102 -0.191
0.000 2.453 6.582
```

Entry 10:
First-principles (PBE) data for a relaxed Ce3Ge4Pt crystal, as listed in the Alexandria database. Values from VASP.

energy of formation	-0.68	eV per atom
total energy	-5.966	eV per atom
magnetization	1.9	μB/cell

```
&SYSTEM
  ibrav = 0, nat = 8, ntyp = 3
/
ATOMIC_SPECIES
Ce 140.12 Ce.upf
Ge 72.64 Ge.upf
Pt 195.08 Pt.upf
ATOMIC_POSITIONS crystal
Ce 0.186 0.186 0.371
Ce 0.814 0.814 0.629
Ce 0.000 0.500 0.000
Ge 0.376 0.586 0.752
Ge 0.624 0.414 0.248
Ge 0.624 0.834 0.248
Ge 0.376 0.166 0.752
Pt 0.500 0.000 0.000
CELL_PARAMETERS angstrom
4.436 0.000 0.000
0.000 6.137 0.000
-2.218 -3.068 7.111
```

Entry 11:
First-principles (PBE) data for a relaxed NaSiRh2 crystal, as listed in the Alexandria database. Values from VASP.

total energy	-5.461	eV per atom
magnetization	0.0	μB/cell

```
&SYSTEM
  ibrav = 0, nat = 8, ntyp = 3
/
ATOMIC_SPECIES
Na 22.99 Na.upf
Si 28.09 Si.upf
Rh 102.91 Rh.upf
ATOMIC_POSITIONS crystal
Na 0.500 0.500 0.000
Na 0.250 0.750 0.500
Si 0.000 0.000 0.000
Si 0.750 0.250 0.500
Rh 0.694 0.125 0.250
Rh 0.056 0.625 0.250
Rh 0.375 0.306 0.750
Rh 0.875 0.944 0.750
CELL_PARAMETERS angstrom
6.993 0.000 0.000
0.000 6.993 0.000
3.496 3.496 2.785
```

Entry 12:
First-principles (PBE) data for a relaxed LiZn2Te crystal, as listed in the Alexandria database. Values from VASP.

total energy	-2.109	eV per atom
magnetization	0.0	μB/cell

```
&SYSTEM
  ibrav = 0, nat = 4, ntyp = 3
/
ATOMIC_SPECIES
Li 6.94 Li.upf
Te 127.60 Te.upf
Zn 65.41 Zn.upf
ATOMIC_POSITIONS crystal
Li 0.000 0.631 0.586
Te 0.500 0.055 0.655
Zn 0.000 0.675 0.121
Zn 0.500 0.139 0.137
CELL_PARAMETERS angstrom
-1.453 -0.124 3.697
-1.977 -3.340 -0.888
1.967 -5.945 0.574
```

Entry 13:
First-principles (PBE) data for a relaxed Ba5SrZn6 crystal, as listed in the Alexandria database. Values from VASP.

energy of formation	-0.16	eV per atom
total energy	-1.741	eV per atom
magnetization	0.0	μB/cell

```
&SYSTEM
  ibrav = 0, nat = 12, ntyp = 3
/
ATOMIC_SPECIES
Sr 87.62 Sr.upf
Zn 65.41 Zn.upf
Ba 137.33 Ba.upf
ATOMIC_POSITIONS crystal
Sr 0.000 0.000 0.000
Zn 0.835 0.755 0.329
Zn 0.835 0.245 0.329
Zn 0.500 0.242 0.000
Zn 0.500 0.758 0.000
Zn 0.165 0.755 0.671
Zn 0.165 0.245 0.671
Ba 0.668 0.500 0.665
Ba 0.334 0.000 0.332
Ba 0.000 0.500 0.000
Ba 0.666 0.000 0.668
Ba 0.332 0.500 0.335
CELL_PARAMETERS angstrom
5.477 -0.033 1.835
0.044 8.136 0.015
0.012 -0.016 9.141
```

Entry 14:
First-principles (PBE) data for a relaxed TlTePb2 crystal, as listed in the Alexandria database. Values from VASP.

distance to the lowest polymorph of the same formula	55.5	meV per atom
total energy	-3.274	eV per atom
magnetization	0.0	μB/cell

```
&SYSTEM
  ibrav = 0, nat = 4, ntyp = 3
/
ATOMIC_SPECIES
Pb 207.20 Pb.upf
Te 127.60 Te.upf
Tl 204.38 Tl.upf
ATOMIC_POSITIONS crystal
Pb 0.000 0.000 0.000
Pb 0.000 0.500 0.500
Te 0.500 0.500 0.000
Tl 0.500 0.000 0.500
CELL_PARAMETERS angstrom
6.841 -0.008 -0.017
-2.797 5.570 0.040
0.853 0.493 3.328
```

Entry 15:
First-principles (PBE) data for a relaxed NdEuAg2 crystal, as listed in the Alexandria database. Values from VASP.

distance to the lowest polymorph of the same formula	7.0	meV per atom
energy of formation	-0.27	eV per atom
total energy	-5.454	eV per atom
magnetization	7.1	μB/cell

```
&SYSTEM
  ibrav = 0, nat = 4, ntyp = 3
/
ATOMIC_SPECIES
Eu 151.96 Eu.upf
Nd 144.24 Nd.upf
Ag 107.87 Ag.upf
ATOMIC_POSITIONS crystal
Eu 0.000 0.000 0.000
Nd 0.500 0.500 0.500
Ag 0.250 0.250 0.250
Ag 0.750 0.750 0.750
CELL_PARAMETERS angstrom
5.338 0.000 0.000
2.669 4.623 0.000
2.669 1.541 4.359
```

Entry 16:
First-principles (PBE) data for a relaxed CdBNO2 crystal, as listed in the Alexandria database. Values from VASP.

total energy	-3.254	eV per atom
magnetization	2.8	μB/cell

```
&SYSTEM
  ibrav = 0, nat = 5, ntyp = 4
/
ATOMIC_SPECIES
B 10.81 B.upf
N 14.01 N.upf
O 16.00 O.upf
Cd 112.41 Cd.upf
ATOMIC_POSITIONS crystal
B 0.500 0.500 0.500
N 0.000 0.000 0.500
O 0.000 0.500 0.000
O 0.500 0.000 0.000
Cd 0.000 0.000 0.000
CELL_PARAMETERS angstrom
4.215 0.000 0.000
0.000 4.215 0.000
0.000 0.000 4.303
```

Entry 17:
First-principles (PBE) data for a relaxed Pr2In3 crystal, as listed in the Alexandria database. Values from VASP.

energy of formation	-0.45	eV per atom
total energy	-4.005	eV per atom
magnetization	0.0	μB/cell

```
&SYSTEM
  ibrav = 0, nat = 20, ntyp = 2
/
ATOMIC_SPECIES
Pr 140.91 Pr.upf
In 114.82 In.upf
ATOMIC_POSITIONS crystal
Pr 0.128 0.183 0.912
Pr 0.372 0.317 0.412
Pr 0.872 0.183 0.588
Pr 0.628 0.317 0.088
Pr 0.872 0.817 0.088
Pr 0.628 0.683 0.588
Pr 0.128 0.817 0.412
Pr 0.372 0.683 0.912
In 0.866 0.522 0.868
In 0.634 0.978 0.368
In 0.134 0.522 0.632
In 0.366 0.978 0.132
In 0.134 0.478 0.132
In 0.366 0.022 0.632
In 0.866 0.478 0.368
In 0.634 0.022 0.868
In 0.000 0.848 0.750
In 0.500 0.652 0.250
In 0.000 0.152 0.250
In 0.500 0.348 0.750
CELL_PARAMETERS angstrom
6.893 0.000 0.000
0.000 8.446 0.000
0.000 0.000 9.894
```

Entry 18:
First-principles (PBE) data for a relaxed Na2Sn2N crystal, as listed in the Alexandria database. Values from VASP.

distance to the lowest polymorph of the same formula	157.2	meV per atom
total energy	-3.062	eV per atom
magnetization	1.7	μB/cell

```
&SYSTEM
  ibrav = 0, nat = 5, ntyp = 3
/
ATOMIC_SPECIES
Na 22.99 Na.upf
Sn 118.71 Sn.upf
N 14.01 N.upf
ATOMIC_POSITIONS crystal
Na 0.418 0.418 0.164
Na 0.582 0.582 0.836
Sn 0.750 0.250 0.500
Sn 0.250 0.750 0.500
N 0.000 0.000 0.000
CELL_PARAMETERS angstrom
4.056 0.000 0.000
0.000 4.056 0.000
2.028 2.028 8.586
```

Entry 19:
First-principles (PBE) data for a relaxed BaZn3Ag crystal, as listed in the Alexandria database. Values from VASP.

distance to the lowest polymorph of the same formula	1116.1	meV per atom
energy of formation	0.94	eV per atom
total energy	-0.782	eV per atom
magnetization	0.0	μB/cell

```
&SYSTEM
  ibrav = 0, nat = 5, ntyp = 3
/
ATOMIC_SPECIES
Zn 65.41 Zn.upf
Ba 137.33 Ba.upf
Ag 107.87 Ag.upf
ATOMIC_POSITIONS crystal
Zn 0.000 0.500 0.000
Zn 0.000 0.000 0.500
Zn 0.500 0.000 0.000
Ba 0.000 0.000 0.000
Ag 0.500 0.500 0.500
CELL_PARAMETERS angstrom
-3.181 2.726 -4.672
-4.698 -4.078 0.820
-2.680 3.913 4.108
```

Entry 20:
First-principles (PBE) data for a relaxed NaMn2Pb crystal, as listed in the Alexandria database. Values from VASP.

energy of formation	0.77	eV per atom
total energy	-5.068	eV per atom
magnetization	16.2	μB/cell

```
&SYSTEM
  ibrav = 0, nat = 8, ntyp = 3
/
ATOMIC_SPECIES
Pb 207.20 Pb.upf
Na 22.99 Na.upf
Mn 54.94 Mn.upf
ATOMIC_POSITIONS crystal
Pb 0.000 0.000 0.000
Pb 0.750 0.250 0.500
Na 0.500 0.500 0.000
Na 0.250 0.750 0.500
Mn 0.644 0.125 0.250
Mn 0.106 0.625 0.250
Mn 0.375 0.356 0.750
Mn 0.875 0.894 0.750
CELL_PARAMETERS angstrom
8.012 0.000 0.000
0.000 8.012 0.000
4.006 4.006 2.929
```